No. 1
DFT (GGA-PBE) results for MnCrAgAs2 after structural relaxation.

Values from the calculation:
SG: P4/mmm
E_form: 0.55 eV/atom

```
MnCrAgAs2
1.0
-1.3636 -0.9572 4.2628
2.9937 -3.7331 0.1194
3.3006 2.7000 1.6621
Cr As Mn Ag
1 2 1 1
Direct
0.0000 0.0000 0.0000 Cr
0.0000 0.0000 0.5000 As
0.5000 0.0000 0.0000 As
0.0000 0.5000 0.0000 Mn
0.5000 0.5000 0.5000 Ag
```

---

No. 2
DFT (GGA-PBE) results for La3HgSe6 after structural relaxation.

Values from the calculation:
SG: Cmc2_1
Formation energy (no corrections): -1.49 eV/atom

```
La3HgSe6
1.0
-3.6296 1.0146 -6.1498
3.9522 -7.5675 -3.5811
-7.6285 -3.4757 3.9290
La Hg Se
6 2 12
Direct
0.4793 0.9151 0.7195 La
0.9793 0.7195 0.9151 La
0.3873 0.3984 0.6016 La
0.8873 0.6016 0.3984 La
0.9793 0.0849 0.2805 La
0.4793 0.2805 0.0849 La
0.0126 0.2036 0.7964 Hg
0.5126 0.7964 0.2036 Hg
0.1827 0.6912 0.6303 Se
0.6827 0.6303 0.6912 Se
0.2143 0.4480 0.9128 Se
0.7143 0.9128 0.4480 Se
0.1834 0.0300 0.9700 Se
0.6496 0.2255 0.7745 Se
0.1496 0.7745 0.2255 Se
0.6834 0.9700 0.0300 Se
0.2143 0.0872 0.5520 Se
0.7143 0.5520 0.0872 Se
0.1827 0.3697 0.3088 Se
0.6827 0.3088 0.3697 Se
```

---

Number 1: total magnetization 3.83 μB per formula unit. Number 2: total magnetization 0.00 μB per formula unit.